A plane-wave DFT calculation with PBE-GGA was carried out for crystalline ErLu3 at its relaxed geometry.

Output
Space group: I4/mmm, No. 139
Fermi-level density of states: 5.687 states/eV/f.u.
E above lowest polymorph: 0.039 eV per atom
Total magnetic moment: 0.00 μB per cell
Energy of formation from the pure elements: 3 kJ per mole of atoms

Lattice parameters (Å, degrees): 6.0024 6.0024 6.0024 131.85 131.85 70.47
Closest atoms and distances in Å follow each position.
Element x y z (fractional)
Er (0.0000, 0.0000, 0.0000)  12 Lu 3.46
Lu (0.2500, 0.7500, 0.5000)  8 Lu 3.46, 4 Er 3.46
Lu (0.5000, 0.5000, 0.0000)  4 Er 3.46, 8 Lu 3.46
Lu (0.7500, 0.2500, 0.5000)  8 Lu 3.46, 4 Er 3.46